VASP calculation (PBE) on a relaxed structure of Ac4Zn2Pd5.

Properties
E_tot, eV per cell: -52.9
ΔH_f (0 K), kcal/mol of atoms: -16.62

a b c (Å): 7.647 4.201 8.605
angles (deg): 90.00 91.18 90.00
Space group P2/m (No. 10)
Symmetry-distinct sites (fractional):
Ac 0.219 0.000 0.363 x2
Ac 0.260 0.000 0.881 x2
Zn 0.424 0.500 0.627 x2
Pd 0.000 0.500 0.000 x1
Pd 0.086 0.500 0.652 x2
Pd 0.375 0.500 0.128 x2


VASP calculation (PBE) on a relaxed structure of AcZn9Pd3.

Properties
E_tot, eV per cell: -71.7
ΔH_f (0 K), kcal/mol of atoms: -8.33

a b c (Å): 5.336 12.912 6.931
angles (deg): 90.00 111.80 90.00
Space group C2/m (No. 12)
Symmetry-distinct sites (fractional):
Ac 0.000 0.000 0.000 x2
Zn 0.000 0.500 0.500 x2
Zn 0.109 0.385 0.228 x8
Zn 0.162 0.180 0.351 x8
Pd 0.000 0.000 0.500 x2
Pd 0.250 0.250 0.000 x4


VASP calculation (PBE) on a relaxed structure of Ac3ZnPd3.

Properties
E_tot, eV per cell: -68.6
ΔH_f (0 K), kcal/mol of atoms: -16.80

a b c (Å): 4.275 4.384 20.377
angles (deg): 90.00 90.00 90.00
Space group Imm2 (No. 44)
Symmetry-distinct sites (fractional):
Ac 0.000 0.000 0.000 x2
Ac 0.000 0.000 0.363 x2
Ac 0.000 0.500 0.172 x2
Zn 0.000 0.500 0.743 x2
Pd 0.000 0.000 0.524 x2
Pd 0.000 0.000 0.822 x2
Pd 0.000 0.500 0.617 x2


VASP calculation (PBE) on a relaxed structure of AcZn4Pd2.

Properties
E_tot, eV per cell: -45.7
ΔH_f (0 K), kcal/mol of atoms: -10.80

a b c (Å): 4.229 15.029 4.232
angles (deg): 90.00 90.00 90.00
Space group Cmmm (No. 65)
Symmetry-distinct sites (fractional):
Ac 0.000 0.000 0.000 x2
Zn 0.000 0.194 0.500 x4
Zn 0.000 0.309 0.000 x4
Pd 0.000 0.408 0.500 x4


VASP calculation (PBE) on a relaxed structure of Ac3ZnPd8.

Properties
E_tot, eV per cell: -190.9
ΔH_f (0 K), kcal/mol of atoms: -16.32

a b c (Å): 5.6196 5.6196 27.3642
angles (deg): 90.00 90.00 120.00
Space group R3m (No. 160, hexagonal axes)
Symmetry-distinct sites (fractional):
Ac 0.0000 0.0000 0.0000 x3
Ac 0.0000 0.0000 0.1319 x3
Ac 0.0000 0.0000 0.6051 x3
Zn 0.0000 0.0000 0.4729 x3
Pd 0.0000 0.0000 0.3101 x3
Pd 0.0000 0.0000 0.8109 x3
Pd 0.0041 0.5021 0.5606 x9
Pd 0.1675 0.3350 0.3935 x9


VASP calculation (PBE) on a relaxed structure of Ac8Zn2Pd.

Properties
E_tot, eV per cell: -84.9
ΔH_f (0 K), kcal/mol of atoms: -3.89

a b c (Å): 19.739 5.526 7.427
angles (deg): 90.00 101.41 90.00
Space group C2/m (No. 12)
Symmetry-distinct sites (fractional):
Ac 0.027 0.000 0.278 x4
Ac 0.090 0.500 0.947 x4
Ac 0.158 0.500 0.468 x4
Ac 0.205 0.000 0.826 x4
Zn 0.191 0.000 0.247 x4
Pd 0.000 0.500 0.500 x2


VASP calculation (PBE) on a relaxed structure of Ac2ZnPd.

Properties
E_tot, eV per cell: -33.5
ΔH_f (0 K), kcal/mol of atoms: -11.96

a b c (Å): 6.190 4.733 8.638
angles (deg): 90.00 110.73 90.00
Space group P2_1/m (No. 11)
Symmetry-distinct sites (fractional):
Ac 0.202 0.250 0.426 x2
Ac 0.284 0.750 0.067 x2
Zn 0.358 0.750 0.715 x2
Pd 0.157 0.250 0.784 x2


VASP calculation (PBE) on a relaxed structure of Ac8ZnPd2.

Properties
E_tot, eV per cell: -93.6
ΔH_f (0 K), kcal/mol of atoms: -4.76

a b c (Å): 9.153 14.417 6.551
angles (deg): 90.00 106.91 90.00
Space group Cm (No. 8)
Symmetry-distinct sites (fractional):
Ac 0.000 0.000 0.000 x2
Ac 0.089 0.370 0.801 x4
Ac 0.157 0.129 0.595 x4
Ac 0.239 0.500 0.373 x2
Ac 0.379 0.222 0.191 x4
Zn 0.369 0.000 0.015 x2
Pd 0.368 0.300 0.680 x4


VASP calculation (PBE) on a relaxed structure of AcZnPd.

Properties
E_tot, eV per cell: -12.6
ΔH_f (0 K), kcal/mol of atoms: -15.35

a b c (Å): 4.5349 4.5349 4.1758
angles (deg): 90.00 90.00 120.00
Space group P-6m2 (No. 187)
Symmetry-distinct sites (fractional):
Ac 0.0000 0.0000 0.0000 x1
Zn 0.3333 0.6667 0.5000 x1
Pd 0.6667 0.3333 0.5000 x1


VASP calculation (PBE) on a relaxed structure of Ac2Zn2Pd.

Properties
E_tot, eV per cell: -73.6
ΔH_f (0 K), kcal/mol of atoms: -11.28

a b c (Å): 11.471 4.472 12.032
angles (deg): 90.00 117.51 90.00
Space group C2/m (No. 12)
Symmetry-distinct sites (fractional):
Ac 0.087 0.000 0.386 x4
Ac 0.201 0.500 0.141 x4
Zn 0.041 0.000 0.917 x4
Zn 0.126 0.500 0.619 x4
Pd 0.076 0.500 0.819 x4


VASP calculation (PBE) on a relaxed structure of Ac3ZnPd2.

Properties
E_tot, eV per cell: -163.6
ΔH_f (0 K), kcal/mol of atoms: -12.62

a b c (Å): 8.2328 8.2328 19.2712
angles (deg): 90.00 90.00 120.00
Space group R-3c (No. 167, hexagonal axes)
Symmetry-distinct sites (fractional):
Ac 0.0000 0.2887 0.2500 x18
Zn 0.0000 0.0000 0.0000 x6
Pd 0.0000 0.0000 0.1388 x12


VASP calculation (PBE) on a relaxed structure of AcZn4Pd2.

Properties
E_tot, eV per cell: -46.9
ΔH_f (0 K), kcal/mol of atoms: -12.64

a b c (Å): 7.859 7.859 4.228
angles (deg): 90.00 90.00 90.00
Space group P4_2/mnm (No. 136)
Symmetry-distinct sites (fractional):
Ac 0.000 0.000 0.000 x2
Zn 0.089 0.352 0.500 x8
Pd 0.222 0.778 0.500 x4